# GaCoHgF6, optimized geometry, DFT GGA+U
# Energy ... -4.1528 eV/atom
# Magnetic moment ... 6.21 μB/cell
# V ... 16.56 Å³/atom
data_GaCoHgF6
_symmetry_space_group_name_H-M 'P -3 1 c'
_symmetry_Int_Tables_number 163
_symmetry_space_group_name_Hall '-P 3 2c'
_cell_length_a 5.3226
_cell_length_b 5.3226
_cell_length_c 12.1472
_cell_angle_alpha 90.00
_cell_angle_beta 90.00
_cell_angle_gamma 120.00
loop_
_atom_site_label
_atom_site_type_symbol
_atom_site_fract_x
_atom_site_fract_y
_atom_site_fract_z
Ga1 Ga 0.3333 0.6667 0.2500
Co1 Co 0.3333 0.6667 0.7500
Hg1 Hg 0.0000 0.0000 0.0000
F1 F 0.0114 0.3886 0.1613